[1]
The following is a PBE calculation of an optimized crystal structure of ZnHg2Au, from Alexandria via LeMat-Bulk.

Results
Energy of formation from the pure elements (eV/atom): 0.14
Electronic total energy (eV/cell): -4.59

extended XYZ file:
```
4
Lattice="3.1925 0.0000 0.0000 0.0000 3.1925 0.0000 0.0000 0.0000 7.8584" Properties=species:S:1:pos:R:3 pbc="T T T"
Zn 0.0000 0.0000 0.0000
Hg 1.5963 1.5963 1.8836
Hg 1.5963 1.5963 5.9748
Au 0.0000 0.0000 3.9292
```

[2]
The following is a PBE calculation of an optimized crystal structure of Er4Si3Rh, from Alexandria via LeMat-Bulk.

Results
E_form (uncorrected) (eV per atom): -0.833
Electronic total energy (eV/cell): -48.54

extended XYZ file:
```
8
Lattice="3.8138 0.0000 0.0000 0.0000 4.2057 0.0000 0.0000 0.0000 10.5933" Properties=species:S:1:pos:R:3 pbc="T T T"
Er 0.0000 0.0000 0.0000
Er 0.0000 2.1029 5.2439
Er 1.9069 0.0000 2.9687
Er 1.9069 2.1029 8.2727
Si 0.0000 0.0000 7.4988
Si 0.0000 2.1029 2.2609
Si 1.9069 0.0000 5.9468
Rh 1.9069 2.1029 0.6512
```

[3]
The following is a PBE calculation of an optimized crystal structure of LaAs2PdBr, from Alexandria via LeMat-Bulk.

Results
E above lowest polymorph (meV per atom): 927
E_form (uncorrected) (eV per atom): 0.447
Electronic total energy (eV/cell): -18.86

extended XYZ file:
```
5
Lattice="5.7803 0.0000 0.0000 0.0000 5.7803 0.0000 0.0000 0.0000 5.6964" Properties=species:S:1:pos:R:3 pbc="T T T"
La 0.0000 0.0000 0.0000
As 0.0000 2.8902 0.0000
As 2.8902 0.0000 0.0000
Pd 2.8902 2.8902 2.8482
Br 0.0000 0.0000 2.8482
```

[4]
The following is a PBE calculation of an optimized crystal structure of Sr2Li2Cd5In, from Alexandria via LeMat-Bulk.

Results
Energy of formation from the pure elements (eV/atom): -0.22
Electronic total energy (eV/cell): -33.47

extended XYZ file:
```
20
Lattice="10.9285 0.0000 0.0000 0.0000 10.9285 0.0000 0.0000 0.0000 4.2737" Properties=species:S:1:pos:R:3 pbc="T T T"
Sr 2.0099 3.4543 0.0000
Sr 3.4543 8.9186 0.0000
Sr 7.4742 2.0099 0.0000
Sr 8.9186 7.4742 0.0000
Li 1.2335 6.6978 0.0000
Li 4.2307 1.2335 0.0000
Li 6.6978 9.6950 0.0000
Li 9.6950 4.2307 0.0000
Cd 0.0000 5.4642 2.1369
Cd 0.5946 8.6789 2.1369
Cd 2.2496 0.5946 2.1369
Cd 3.2147 6.0588 2.1369
Cd 4.8697 3.2147 2.1369
Cd 5.4642 0.0000 2.1369
Cd 6.0588 7.7138 2.1369
Cd 7.7138 4.8697 2.1369
Cd 8.6789 10.3339 2.1369
Cd 10.3339 2.2496 2.1369
In 0.0000 0.0000 0.0000
In 5.4642 5.4642 0.0000
```

[5]
The following is a PBE calculation of an optimized crystal structure of Ba2AlPt2, from Alexandria via LeMat-Bulk.

Results
Energy of formation from the pure elements (eV/atom): -0.23
Electronic total energy (eV/cell): -20.80

extended XYZ file:
```
5
Lattice="-1.9259 1.9259 10.0754 1.9259 -1.9259 10.0754 1.9259 1.9259 -10.0754" Properties=species:S:1:pos:R:3 pbc="T T T"
Ba 0.0000 0.0000 2.4194
Ba 0.0000 0.0000 17.7314
Al 0.0000 0.0000 10.0754
Pt 1.9259 0.0000 5.0377
Pt 0.0000 1.9259 5.0377
```

[6]
The following is a PBE calculation of an optimized crystal structure of Pm6GeRu2Cl3, from Alexandria via LeMat-Bulk.

Results
E_form (uncorrected) (eV per atom): -0.989
Electronic total energy (eV/cell): -69.08

extended XYZ file:
```
12
Lattice="3.5736 -6.2067 0.0000 3.5736 6.2067 0.0000 -2.3895 0.0000 7.3846" Properties=species:S:1:pos:R:3 pbc="T T T"
Pm -0.0661 2.1915 5.8430
Pm 1.0477 0.0000 1.5485
Pm -0.0661 -2.1915 5.8430
Pm 4.8237 2.1915 1.5416
Pm 3.7099 0.0000 5.8361
Pm 4.8237 -2.1915 1.5416
Ge 3.5736 0.0000 0.0000
Ru 3.5736 4.1407 0.0000
Ru 3.5736 -4.1407 0.0000
Cl -1.1948 0.0000 3.6923
Cl 2.3788 2.0547 3.6923
Cl 2.3788 -2.0547 3.6923
```

[7]
The following is a PBE calculation of an optimized crystal structure of Nd2Al5Cu4, from Alexandria via LeMat-Bulk.

Results
Energy of formation from the pure elements (eV/atom): -0.35
Electronic total energy (eV/cell): -48.50

extended XYZ file:
```
11
Lattice="0.0000 4.8023 7.4682 2.7919 0.0000 7.4682 2.7919 4.8023 0.0000" Properties=species:S:1:pos:R:3 pbc="T T T"
Nd 2.7919 4.8023 2.0004
Nd 2.7919 4.8023 12.9360
Al 1.3960 2.4011 0.0000
Al 1.3960 2.4011 3.7341
Al 1.3960 2.4011 7.4682
Al 2.7919 4.8023 7.4682
Al 4.1879 7.2034 11.2023
Cu 2.7919 3.4401 5.4526
Cu 2.7919 3.4401 9.4838
Cu 2.7919 6.1644 5.4526
Cu 2.7919 6.1644 9.4838
```

[8]
The following is a PBE calculation of an optimized crystal structure of PrNdSmTm2, from Alexandria via LeMat-Bulk.

Results
Energy of formation from the pure elements (eV/atom): 0.35
Electronic total energy (eV/cell): -42.91

extended XYZ file:
```
10
Lattice="4.2246 -5.8103 0.0000 4.2246 5.8103 0.0000 0.0000 0.0000 7.1967" Properties=species:S:1:pos:R:3 pbc="T T T"
Pr 4.2246 3.1636 5.3976
Pr 4.2246 -3.1636 1.7992
Nd 4.2246 3.1944 1.7992
Nd 4.2246 -3.1944 5.3976
Sm 4.2246 0.0136 1.7992
Sm 4.2246 -0.0136 5.3976
Tm 1.5798 0.0000 0.0000
Tm 1.5798 0.0000 3.5984
Tm 6.8695 0.0000 0.0000
Tm 6.8695 0.0000 3.5984
```

[9]
The following is a PBE calculation of an optimized crystal structure of Cd2TePb, from Alexandria via LeMat-Bulk.

Results
E above lowest polymorph (meV per atom): 0
E_form (uncorrected) (eV per atom): -0.070
Electronic total energy (eV/cell): -8.96

extended XYZ file:
```
4
Lattice="2.1089 1.2176 7.6606 -2.1089 1.2176 7.6606 0.0000 -2.4351 7.6606" Properties=species:S:1:pos:R:3 pbc="T T T"
Cd 0.0000 0.0000 5.6076
Cd 0.0000 0.0000 17.3743
Te 0.0000 0.0000 11.4909
Pb 0.0000 0.0000 0.0000
```

[10]
The following is a PBE calculation of an optimized crystal structure of SmIrC, from Alexandria via LeMat-Bulk.

Results
E above lowest polymorph (meV per atom): 294
Energy of formation from the pure elements (eV/atom): -0.16
Electronic total energy (eV/cell): -46.54

extended XYZ file:
```
6
Lattice="-2.9127 3.9119 2.4080 2.9127 -3.9119 2.4080 2.9127 3.9119 -2.4080" Properties=species:S:1:pos:R:3 pbc="T T T"
Sm 0.0000 0.0000 0.0000
Sm 0.0000 3.9119 0.0000
Ir 2.9127 1.9559 0.0037
Ir 0.0000 1.9559 2.4043
C 1.4564 1.9559 -1.2040
C 1.4564 -1.9559 1.2040
```

[11]
The following is a PBE calculation of an optimized crystal structure of MgTcOs, from Alexandria via LeMat-Bulk.

Results
E above lowest polymorph (meV per atom): 396
Energy of formation from the pure elements (eV/atom): 0.45
Electronic total energy (eV/cell): -21.83

extended XYZ file:
```
3
Lattice="0.0000 2.9839 2.9839 2.9839 0.0000 2.9839 2.9839 2.9839 0.0000" Properties=species:S:1:pos:R:3 pbc="T T T"
Mg 0.0000 0.0000 0.0000
Tc 2.9839 2.9839 2.9839
Os 1.4919 1.4919 1.4919
```

[12]
The following is a PBE calculation of an optimized crystal structure of Nd4CdHgAu2, from Alexandria via LeMat-Bulk.

Results
Energy of formation from the pure elements (eV/atom): -0.56
Electronic total energy (eV/cell): -31.31

extended XYZ file:
```
8
Lattice="2.6586 1.5349 8.8390 -2.6586 1.5349 8.8390 0.0000 -3.0699 8.8390" Properties=species:S:1:pos:R:3 pbc="T T T"
Nd 0.0000 0.0000 3.2574
Nd 0.0000 0.0000 9.9223
Nd 0.0000 0.0000 16.5948
Nd 0.0000 0.0000 23.2597
Cd 0.0000 0.0000 13.2585
Hg 0.0000 0.0000 0.0000
Au 0.0000 0.0000 6.4213
Au 0.0000 0.0000 20.0957
```

[13]
The following is a PBE calculation of an optimized crystal structure of SmMg3Al8, from Alexandria via LeMat-Bulk.

Results
Energy of formation from the pure elements (eV/atom): -0.15
Electronic total energy (eV/cell): -41.29

extended XYZ file:
```
12
Lattice="5.5299 0.0000 0.0000 -2.7649 4.7890 0.0000 0.0000 0.0000 8.7838" Properties=species:S:1:pos:R:3 pbc="T T T"
Sm 0.0000 0.0000 0.0000
Mg 0.0000 0.0000 3.3074
Mg 2.7649 1.5963 4.3756
Mg 2.7649 1.5963 7.5896
Al 0.0000 1.5573 5.9970
Al -1.4163 4.0104 5.9970
Al 0.0000 3.1927 3.8695
Al 0.0000 3.1927 8.2122
Al 2.7649 0.0365 1.6344
Al 1.4141 2.3762 1.6344
Al 1.4163 4.0104 5.9970
Al 4.1158 2.3762 1.6344
```

[14]
The following is a PBE calculation of an optimized crystal structure of Ba2TlInPd, from Alexandria via LeMat-Bulk.

Results
E above lowest polymorph (meV per atom): 69
Energy of formation from the pure elements (eV/atom): -0.31
Electronic total energy (eV/cell): -15.71

extended XYZ file:
```
5
Lattice="6.1126 0.0000 0.0000 0.0000 6.1126 0.0000 0.0000 0.0000 5.2675" Properties=species:S:1:pos:R:3 pbc="T T T"
Ba 0.0000 3.0563 0.0000
Ba 3.0563 0.0000 0.0000
Tl 0.0000 0.0000 2.6337
In 3.0563 3.0563 2.6337
Pd 0.0000 0.0000 0.0000
```

[15]
The following is a PBE calculation of an optimized crystal structure of Er5Th6, from Alexandria via LeMat-Bulk.

Results
Energy of formation from the pure elements (eV/atom): 0.19
Electronic total energy (eV/cell): -65.23

extended XYZ file:
```
11
Lattice="3.0503 -5.2847 0.0000 3.0503 5.2847 0.0000 -2.0357 0.0000 11.2641" Properties=species:S:1:pos:R:3 pbc="T T T"
Er 0.0000 0.0000 0.0000
Er 2.0325 3.5208 5.6321
Er 3.0503 1.7768 0.0000
Er 3.0503 -1.7768 0.0000
Er 2.0325 -3.5208 5.6321
Th 1.0390 1.7256 2.8883
Th 0.0351 0.0000 8.3932
Th 1.0390 -1.7256 2.8883
Th 3.0260 1.7256 8.3758
Th 4.0299 0.0000 2.8710
Th 3.0260 -1.7256 8.3758
```

[16]
The following is a PBE calculation of an optimized crystal structure of Y2TmAg, from Alexandria via LeMat-Bulk.

Results
E above lowest polymorph (meV per atom): 126
Energy of formation from the pure elements (eV/atom): 0.00
Electronic total energy (eV/cell): -20.27

extended XYZ file:
```
4
Lattice="5.3897 0.0000 0.0000 0.0000 5.3897 0.0000 0.0000 0.0000 3.7754" Properties=species:S:1:pos:R:3 pbc="T T T"
Y 0.0000 2.6949 0.0000
Y 2.6949 0.0000 0.0000
Tm 0.0000 0.0000 1.8877
Ag 2.6949 2.6949 1.8877
```

[17]
The following is a PBE calculation of an optimized crystal structure of CePmHgBr, from Alexandria via LeMat-Bulk.

Results
E_form (uncorrected) (eV per atom): -0.559
Electronic total energy (eV/cell): -14.90

extended XYZ file:
```
4
Lattice="0.0000 3.7885 3.7885 3.7885 0.0000 3.7885 3.7885 3.7885 0.0000" Properties=species:S:1:pos:R:3 pbc="T T T"
Ce 0.0000 0.0000 0.0000
Pm 3.7885 3.7885 3.7885
Hg 5.6828 5.6828 5.6828
Br 1.8943 1.8943 1.8943
```

[18]
The following is a PBE calculation of an optimized crystal structure of KTl4Sb, from Alexandria via LeMat-Bulk.

Results
E above lowest polymorph (meV per atom): 116
E_form (uncorrected) (eV per atom): 0.000
Electronic total energy (eV/cell): -14.69

extended XYZ file:
```
6
Lattice="0.0000 4.6505 4.6505 4.6505 0.0000 4.6505 4.6505 4.6505 0.0000" Properties=species:S:1:pos:R:3 pbc="T T T"
K 0.0000 0.0000 0.0000
Tl 3.4971 3.4971 3.4971
Tl 5.8038 5.8038 3.4971
Tl 5.8038 3.4971 5.8038
Tl 3.4971 5.8038 5.8038
Sb 6.9757 6.9757 6.9757
```

[19]
The following is a PBE calculation of an optimized crystal structure of GePCl2O, from Alexandria via LeMat-Bulk.

Results
E above lowest polymorph (meV per atom): 0
E_form (uncorrected) (eV per atom): 0.551
Electronic total energy (eV/cell): -15.93

extended XYZ file:
```
5
Lattice="4.5323 0.0000 0.0000 0.0000 4.5323 0.0000 0.0000 0.0000 4.2545" Properties=species:S:1:pos:R:3 pbc="T T T"
Ge 0.0000 0.0000 0.0000
P 2.2662 2.2662 0.0000
Cl 0.0000 2.2662 2.1272
Cl 2.2662 0.0000 2.1272
O 2.2662 2.2662 2.1272
```

[20]
The following is a PBE calculation of an optimized crystal structure of CdPb2W, from Alexandria via LeMat-Bulk.

Results
Energy of formation from the pure elements (eV/atom): 0.93
Electronic total energy (eV/cell): -17.58

extended XYZ file:
```
4
Lattice="5.1210 0.0000 0.0000 0.0000 5.1210 0.0000 0.0000 0.0000 3.4759" Properties=species:S:1:pos:R:3 pbc="T T T"
Cd 0.0000 0.0000 0.0000
Pb 0.0000 2.5605 1.7379
Pb 2.5605 0.0000 1.7379
W 2.5605 2.5605 0.0000
```

[21]
The following is a PBE calculation of an optimized crystal structure of CaThPd2, from Alexandria via LeMat-Bulk.

Results
E above lowest polymorph (meV per atom): 52
Energy of formation from the pure elements (eV/atom): -0.66
Electronic total energy (eV/cell): -22.43

extended XYZ file:
```
4
Lattice="2.0513 1.1843 7.1503 -2.0513 1.1843 7.1503 0.0000 -2.3687 7.1503" Properties=species:S:1:pos:R:3 pbc="T T T"
Ca 0.0000 0.0000 0.0000
Th 0.0000 0.0000 10.7255
Pd 0.0000 0.0000 5.2492
Pd 0.0000 0.0000 16.2018
```

[22]
The following is a PBE calculation of an optimized crystal structure of Be2SbTe, from Alexandria via LeMat-Bulk.

Results
E above lowest polymorph (meV per atom): 680
E_form (uncorrected) (eV per atom): 0.702
Electronic total energy (eV/cell): -11.91

extended XYZ file:
```
4
Lattice="3.4453 0.0000 0.0000 0.0000 3.4453 0.0000 0.0000 0.0000 6.4186" Properties=species:S:1:pos:R:3 pbc="T T T"
Be 0.0000 0.0000 1.1750
Be 0.0000 0.0000 5.2436
Sb 1.7226 1.7226 3.2093
Te 1.7226 1.7226 0.0000
```

[23]
The following is a PBE calculation of an optimized crystal structure of Sc4GaTe3, from Alexandria via LeMat-Bulk.

Results
E_form (uncorrected) (eV per atom): -1.010
Electronic total energy (eV/cell): -91.71

extended XYZ file:
```
16
Lattice="7.1545 0.0000 0.0000 0.0000 8.2573 0.0000 -2.3442 0.0000 6.6919" Properties=species:S:1:pos:R:3 pbc="T T T"
Sc 1.6187 0.9540 0.0187
Sc 0.4466 7.3033 3.3647
Sc 0.5314 2.8888 3.2036
Sc -0.6407 5.3685 6.5496
Sc 5.4511 2.8888 0.1424
Sc 4.2790 5.3685 3.4883
Sc 4.3637 0.9540 3.3272
Sc 3.1917 7.3033 6.6732
Ga -0.5860 0.9755 1.6730
Ga -1.7581 7.2818 5.0190
Te -1.7581 3.1284 5.0190
Te -0.5860 5.1289 1.6730
Te 1.8191 1.0220 5.0190
Te 2.9912 3.1508 1.6730
Te 1.8191 5.1065 5.0190
Te 2.9912 7.2353 1.6730
```

[24]
The following is a PBE calculation of an optimized crystal structure of K2Be, from Alexandria via LeMat-Bulk.

Results
E above lowest polymorph (meV per atom): 14
Energy of formation from the pure elements (eV/atom): 0.47
Electronic total energy (eV/cell): -9.00

extended XYZ file:
```
6
Lattice="8.5882 -4.1482 0.0000 8.5882 4.1482 0.0000 0.0000 0.0000 4.2512" Properties=species:S:1:pos:R:3 pbc="T T T"
K 6.3938 2.1028 3.1884
K 10.7825 2.1028 3.1884
K 6.3938 -2.1028 1.0628
K 10.7825 -2.1028 1.0628
Be 8.5882 3.9816 1.0628
Be 8.5882 -3.9816 3.1884
```

[25]
The following is a PBE calculation of an optimized crystal structure of Pm5Nd2YTh, from Alexandria via LeMat-Bulk.

Results
Energy of formation from the pure elements (eV/atom): 0.15
Electronic total energy (eV/cell): -91.62

extended XYZ file:
```
18
Lattice="2.8608 -10.3436 0.0000 2.8608 10.3436 0.0000 0.0000 0.0000 10.5997" Properties=species:S:1:pos:R:3 pbc="T T T"
Pm 2.8608 10.0431 5.2998
Pm 2.8608 4.6637 8.4470
Pm 2.8608 4.2519 1.9867
Pm 2.8608 2.3679 5.3725
Pm 2.8608 0.3758 2.3963
Pm 2.8608 -0.3758 7.6962
Pm 2.8608 -2.3679 0.0727
Pm 2.8608 -4.2519 7.2865
Pm 2.8608 -4.6637 3.1472
Pm 2.8608 -10.0431 0.0000
Nd 2.8608 7.9595 2.2700
Nd 2.8608 7.9628 8.4367
Nd 2.8608 -7.9628 3.1369
Nd 2.8608 -7.9595 7.5698
Y 2.8608 1.9652 9.9705
Y 2.8608 -1.9652 4.6707
Th 2.8608 6.2262 5.2406
Th 2.8608 -6.2262 10.5405
```